{"formula": "K2LaAs", "functional": "meta-GGA SCAN", "state": "PBEsol geometry", "cell": [[-1.947, 2.118, 1.764], [1.685, -0.795, 2.814], [7.919, 9.091, -2.175]], "species": ["As", "K", "K", "La"], "frac_coords": [[0.500, 0.500, 0.500], [0.000, 0.000, 0.684], [0.000, 0.000, 0.316], [0.500, 0.500, 0.000]], "dft_energy_ev_per_atom": -19.90, "sg": "P4/mmm", "magmom_total_mub_per_fu": 1.14}


{"formula": "K2LaAs", "functional": "meta-GGA SCAN", "state": "PBEsol geometry", "cell": [[-2.647, 3.097, -0.640], [-2.703, -1.728, 2.818], [5.795, 6.227, 6.158]], "species": ["As", "K", "K", "La"], "frac_coords": [[0.500, 0.013, 0.651], [0.000, 0.154, 0.936], [0.500, 0.839, 0.299], [0.000, 0.494, 0.613]], "dft_energy_ev_per_atom": -20.62, "sg": "Pm", "magmom_total_mub_per_fu": 0.46}


{"formula": "K3LaAs2O8", "functional": "meta-GGA SCAN", "state": "PBEsol geometry", "cell": [[5.882, 0.000, 0.000], [0.000, 7.621, 0.012], [0.000, -0.273, 9.920]], "species": ["K", "K", "K", "K", "K", "K", "La", "La", "As", "As", "As", "As", "O", "O", "O", "O", "O", "O", "O", "O", "O", "O", "O", "O", "O", "O", "O", "O"], "frac_coords": [[0.993, 0.009, 0.193], [0.493, 0.991, 0.807], [0.980, 0.857, 0.592], [0.480, 0.143, 0.408], [0.007, 0.306, 0.917], [0.507, 0.694, 0.083], [0.510, 0.490, 0.709], [0.010, 0.510, 0.291], [0.507, 0.257, 0.084], [0.007, 0.743, 0.916], [0.977, 0.303, 0.573], [0.477, 0.697, 0.427], [0.023, 0.963, 0.901], [0.523, 0.037, 0.099], [0.411, 0.480, 0.451], [0.911, 0.520, 0.549], [0.504, 0.790, 0.585], [0.004, 0.210, 0.415], [0.716, 0.734, 0.333], [0.216, 0.266, 0.667], [0.245, 0.779, 0.345], [0.745, 0.221, 0.655], [0.761, 0.665, 0.844], [0.261, 0.335, 0.156], [0.234, 0.647, 0.834], [0.734, 0.353, 0.166], [0.013, 0.681, 0.081], [0.513, 0.319, 0.919]], "sg": "P2_1", "e_form_raw_mev_per_atom": -2245, "magmom_total_mub_per_fu": 0.00}


{"formula": "KLaAsOs2", "functional": "meta-GGA SCAN", "state": "PBEsol geometry", "cell": [[-1.130, -3.229, 3.574], [3.622, -2.989, -1.555], [3.632, 2.588, 3.487]], "species": ["As", "Os", "Os", "K", "La"], "frac_coords": [[0.000, 0.000, 0.500], [0.000, 0.500, 0.000], [0.500, 0.000, 0.000], [0.500, 0.500, 0.500], [0.000, 0.000, 0.000]], "dft_energy_ev_per_atom": -41.20, "sg": "P4/mmm", "magmom_total_mub_per_fu": 1.72}


{"formula": "K2LiAs", "functional": "meta-GGA SCAN", "state": "PBEsol geometry", "cell": [[4.681, 0.000, 0.000], [0.000, 5.561, 0.000], [0.000, -2.781, 5.119]], "species": ["As", "K", "K", "Li"], "frac_coords": [[0.500, 0.611, 0.221], [0.000, 0.968, 0.937], [0.500, 0.288, 0.576], [0.000, 0.632, 0.263]], "dft_energy_ev_per_atom": -10.31, "sg": "Amm2", "magmom_total_mub_per_fu": 0.00}


{"formula": "KLiAs2", "functional": "meta-GGA SCAN", "state": "PBEsol geometry", "cell": [[2.915, 0.000, 0.000], [0.000, 5.592, -0.028], [0.000, -2.373, 5.064]], "species": ["As", "As", "K", "Li"], "frac_coords": [[0.000, 0.000, 0.500], [0.000, 0.500, 0.000], [0.500, 0.500, 0.500], [0.500, 0.000, 0.000]], "dft_energy_ev_per_atom": -12.99, "sg": "Cmmm", "magmom_total_mub_per_fu": 0.00}